Cd2OsW (PBE, relaxed); energy of formation from the pure elements = 420.8 meV per atom; M_tot = 0.00 μB per formula unit; offset from the most stable computed form = 16.5 kJ/mol of atoms; space group = No. 35
1.0
-1.4019 -1.2641 -2.0967
2.5695 -1.0311 0.5420
-3.9804 -6.4698 6.5620
Os Cd W
1 2 1
direct
0.0000 0.0000 0.5189
0.5000 0.5000 0.2658
0.0000 0.0000 0.9868
0.5000 0.5000 0.7285

Cd2OsW (PBE, relaxed); energy of formation from the pure elements = 1366.3 meV per atom; M_tot = 0.28 μB per formula unit; offset from the most stable computed form = 107.8 kJ/mol of atoms; space group = No. 122
1.0
7.6282 0.0000 0.0000
0.0000 7.6282 0.0000
3.8141 3.8141 2.6509
Cd Os W
4 2 2
direct
0.1153 0.6250 0.2500
0.3750 0.3653 0.7500
0.8750 0.8847 0.7500
0.6347 0.1250 0.2500
0.7500 0.2500 0.5000
0.0000 0.0000 0.0000
0.2500 0.7500 0.5000
0.5000 0.5000 0.0000

CdOs2W (PBE, relaxed); energy of formation from the pure elements = 964.4 meV per atom; M_tot = 0.00 μB per formula unit; space group = No. 122
1.0
7.3599 0.0000 0.0000
0.0000 7.3599 0.0000
3.6800 3.6800 2.7284
Os Cd W
4 2 2
direct
0.3750 0.3261 0.7500
0.6739 0.1250 0.2500
0.8750 0.9239 0.7500
0.0761 0.6250 0.2500
0.5000 0.5000 0.0000
0.2500 0.7500 0.5000
0.0000 0.0000 0.0000
0.7500 0.2500 0.5000

CdOs2W (PBE, relaxed); energy of formation from the pure elements = 604.8 meV per atom; M_tot = 0.00 μB per formula unit; space group = No. 123
1.0
-3.1627 0.3307 -0.4128
-0.7361 -2.5799 3.5726
0.0363 3.6184 2.6204
Os W Cd
2 1 1
direct
0.0000 0.0000 0.0000
0.0000 0.5000 0.5000
0.5000 0.5000 0.0000
0.5000 0.0000 0.5000

CdOs2W (PBE, relaxed); energy of formation from the pure elements = 558.8 meV per atom; M_tot = 0.00 μB per formula unit; space group = No. 10
1.0
4.2268 0.0000 0.0000
0.0000 2.8012 0.0132
0.0000 1.6104 5.5419
Os Cd W
2 1 1
direct
0.0000 0.4159 0.4763
0.0000 0.0841 0.0237
0.5000 0.7500 0.7500
0.5000 0.2500 0.2500

CdOsW (PBE, relaxed); energy of formation from the pure elements = 839.3 meV per atom; M_tot = 0.00 μB per formula unit; offset from the most stable computed form = 49.3 kJ/mol of atoms; space group = No. 216
1.0
4.3552 0.0000 0.0000
2.1776 3.7717 0.0000
2.1776 1.2572 3.5560
W Os Cd
1 1 1
direct
0.0000 0.0000 0.0000
0.7500 0.7500 0.7500
0.5000 0.5000 0.5000

CdOsW2 (PBE, relaxed); energy of formation from the pure elements = 990.8 meV per atom; M_tot = 0.00 μB per formula unit; space group = No. 122
1.0
-2.2347 6.4228 3.1642
1.6174 -2.7762 6.7775
2.2002 2.7950 4.7702
Cd Os W
2 2 4
direct
0.5000 0.5000 0.0000
0.2500 0.7500 0.5000
0.0000 0.0000 0.0000
0.7500 0.2500 0.5000
0.0724 0.6250 0.2500
0.8750 0.9276 0.7500
0.6776 0.1250 0.2500
0.3750 0.3224 0.7500

Cd2OsW (PBE, relaxed); energy of formation from the pure elements = 620.1 meV per atom; M_tot = 0.00 μB per formula unit; offset from the most stable computed form = 35.8 kJ/mol of atoms; space group = No. 5
1.0
-0.1291 -3.3518 -3.3456
4.3276 1.0435 -1.6216
-0.7354 -0.9558 4.3373
Cd Os W
2 1 1
direct
0.9979 0.0021 0.0000
0.2517 0.7483 0.5000
0.5174 0.4826 0.0000
0.7331 0.2669 0.5000

CdOs2W (PBE, relaxed); energy of formation from the pure elements = 602.8 meV per atom; M_tot = 0.00 μB per formula unit; space group = No. 65
1.0
4.8166 0.0198 0.0000
-1.3416 4.6260 0.0000
0.0000 0.0000 2.8563
W Cd Os
1 1 2
direct
0.5000 0.0000 0.5000
0.0000 0.5000 0.5000
0.0000 0.0000 0.0000
0.5000 0.5000 0.0000

CdOsW2 (PBE, relaxed); energy of formation from the pure elements = 375.8 meV per atom; M_tot = 0.00 μB per formula unit; space group = No. 160
1.0
-4.4646 -3.3762 -8.0215
-1.8648 -4.3464 -8.5620
-3.6284 -5.8534 -6.9461
W Os Cd
2 1 1
direct
0.0040 0.0040 0.0040
0.2539 0.2539 0.2539
0.7441 0.7441 0.7441
0.4980 0.4980 0.4980

CdOsW (PBE, relaxed); energy of formation from the pure elements = 328.0 meV per atom; M_tot = 0.00 μB per formula unit; offset from the most stable computed form = 0.0 kJ/mol of atoms; space group = No. 156
1.0
-2.7090 -0.8144 -0.3008
1.7813 -1.5448 1.5915
-1.8084 3.8779 5.7881
W Os Cd
1 1 1
direct
0.3333 0.6667 0.6420
0.6667 0.3333 0.3537
0.0000 0.0000 0.0043

CdOsW2 (PBE, relaxed); energy of formation from the pure elements = 804.8 meV per atom; M_tot = 0.00 μB per formula unit; space group = No. 123
1.0
-3.3674 1.6646 2.9941
-1.7499 -4.4452 0.5033
1.7540 -0.4394 2.2170
W Os Cd
2 1 1
direct
0.5000 0.5000 0.0000
0.0000 0.0000 0.0000
0.0000 0.5000 0.5000
0.5000 0.0000 0.5000